Entry 1:
A plane-wave DFT calculation with PBE was carried out for a geometry-optimized RbTl3Mo structure.

It has space group Pm-3m (No. 221), with a = 5.4768 Å, b = 5.4768 Å, c = 5.4768 Å, α = 90.00°, β = 90.00° and γ = 90.00°. Symmetry generates all atoms from Rb at (0.0000, 0.0000, 0.0000), Tl at (0.0000, 0.5000, 0.5000) and Mo at (0.5000, 0.5000, 0.5000).

For the calculated volume, the calculation gives 32.86 Å³ per atom. The value obtained for the distance to the lowest polymorph of the same formula is 0.000 eV per atom. As for the energy of formation: 0.29 eV per atom.


Entry 2:
A plane-wave DFT calculation with PBE was carried out for a geometry-optimized Rb2TlMo structure.

It has space group I-42d (No. 122), with a = 13.2515 Å, b = 13.2515 Å, c = 5.4929 Å, α = 90.00°, β = 90.00° and γ = 90.00°. Symmetry generates all atoms from Rb at (0.0840, 0.2500, 0.1250), Tl at (0.0000, 0.0000, 0.5000) and Mo at (0.0000, 0.0000, 0.0000).

For the calculated volume, the calculation gives 60.28 Å³ per atom. The value obtained for the distance to the lowest polymorph of the same formula is 0.000 eV per atom. As for the energy of formation: 1.04 eV per atom.


Entry 3:
A plane-wave DFT calculation with PBE was carried out for a geometry-optimized RbTl2Mo structure.

It has space group I-42d (No. 122), with a = 6.2500 Å, b = 6.2500 Å, c = 18.3065 Å, α = 90.00°, β = 90.00° and γ = 90.00°. Symmetry generates all atoms from Rb at (0.0000, 0.0000, 0.0000), Tl at (0.0025, 0.2500, 0.6250) and Mo at (0.0000, 0.0000, 0.5000).

For the calculated volume, the calculation gives 44.69 Å³ per atom. The value obtained for the distance to the lowest polymorph of the same formula is 0.000 eV per atom. As for the energy of formation: 0.88 eV per atom.


Entry 4:
A plane-wave DFT calculation with PBE was carried out for a geometry-optimized RbTlMo3 structure.

It has space group Pm-3m (No. 221), with a = 4.7629 Å, b = 4.7629 Å, c = 4.7629 Å, α = 90.00°, β = 90.00° and γ = 90.00°. Symmetry generates all atoms from Rb at (0.0000, 0.0000, 0.0000), Tl at (0.5000, 0.5000, 0.5000) and Mo at (0.0000, 0.0000, 0.5000).

For the calculated volume, the calculation gives 21.61 Å³ per atom. The value obtained for the distance to the lowest polymorph of the same formula is 0.439 eV per atom. As for the energy of formation: 3.16 eV per atom.


Entry 5:
A plane-wave DFT calculation with PBE was carried out for a geometry-optimized RbTlZnMo2 structure.

It has space group P4/mmm (No. 123), with a = 5.5661 Å, b = 5.5661 Å, c = 6.0957 Å, α = 90.00°, β = 90.00° and γ = 90.00°. Symmetry generates all atoms from Rb at (0.0000, 0.0000, 0.0000), Tl at (0.0000, 0.0000, 0.5000), Zn at (0.5000, 0.5000, 0.5000) and Mo at (0.0000, 0.5000, 0.0000).

For the calculated volume, the calculation gives 37.77 Å³ per atom. As for the energy of formation: 2.81 eV per atom.


Entry 6:
A plane-wave DFT calculation with PBE was carried out for a geometry-optimized RbVMo3 structure.

It has space group Pm-3m (No. 221), with a = 4.7576 Å, b = 4.7576 Å, c = 4.7576 Å, α = 90.00°, β = 90.00° and γ = 90.00°. Symmetry generates all atoms from Rb at (0.0000, 0.0000, 0.0000), V at (0.5000, 0.5000, 0.5000) and Mo at (0.0000, 0.5000, 0.5000).

For the calculated volume, the calculation gives 21.54 Å³ per atom. The value obtained for the distance to the lowest polymorph of the same formula is 0.000 eV per atom. As for the energy of formation: 1.81 eV per atom.


Entry 7:
A plane-wave DFT calculation with PBE was carried out for a geometry-optimized Rb3VMo structure.

It has space group Pm-3m (No. 221), with a = 6.8151 Å, b = 6.8151 Å, c = 6.8151 Å, α = 90.00°, β = 90.00° and γ = 90.00°. Symmetry generates all atoms from Rb at (0.0000, 0.0000, 0.5000), V at (0.0000, 0.0000, 0.0000) and Mo at (0.5000, 0.5000, 0.5000).

For the calculated volume, the calculation gives 63.31 Å³ per atom. As for the energy of formation: 1.83 eV per atom.


Entry 8:
A plane-wave DFT calculation with PBE was carried out for a geometry-optimized RbV2Mo structure.

It has space group I4_1/amd (No. 141, origin choice 2), with a = 5.8766 Å, b = 5.8766 Å, c = 14.7512 Å, α = 90.00°, β = 90.00° and γ = 90.00°. Symmetry generates all atoms from Rb at (0.0000, 0.2500, 0.3750), V at (0.0000, 0.0000, 0.0000) and Mo at (0.0000, 0.2500, 0.8750).

For the calculated volume, the calculation gives 31.84 Å³ per atom. The value obtained for the distance to the lowest polymorph of the same formula is 0.034 eV per atom. As for the energy of formation: 1.68 eV per atom.


Entry 9:
A plane-wave DFT calculation with PBE was carried out for a geometry-optimized RbV2Mo structure.

It has space group Fm-3m (No. 225), with a = 6.7833 Å, b = 6.7833 Å, c = 6.7833 Å, α = 90.00°, β = 90.00° and γ = 90.00°. Symmetry generates all atoms from Rb at (0.0000, 0.0000, 0.0000), V at (0.2500, 0.2500, 0.2500) and Mo at (0.0000, 0.0000, 0.5000).

For the calculated volume, the calculation gives 19.51 Å³ per atom. The value obtained for the distance to the lowest polymorph of the same formula is 0.000 eV per atom. As for the energy of formation: 1.65 eV per atom.


Entry 10:
A plane-wave DFT calculation with PBE was carried out for a geometry-optimized RbVMo3 structure.

It has space group Pm-3m (No. 221), with a = 4.6601 Å, b = 4.6601 Å, c = 4.6601 Å, α = 90.00°, β = 90.00° and γ = 90.00°. Symmetry generates all atoms from Rb at (0.0000, 0.0000, 0.0000), V at (0.5000, 0.5000, 0.5000) and Mo at (0.0000, 0.0000, 0.5000).

For the calculated volume, the calculation gives 20.24 Å³ per atom. The value obtained for the distance to the lowest polymorph of the same formula is 1.506 eV per atom. As for the energy of formation: 3.31 eV per atom.


Entry 11:
A plane-wave DFT calculation with PBE was carried out for a geometry-optimized Rb2VMo structure.

It has space group I-42d (No. 122), with a = 13.5967 Å, b = 13.5967 Å, c = 4.4281 Å, α = 90.00°, β = 90.00° and γ = 90.00°. Symmetry generates all atoms from Rb at (0.0656, 0.2500, 0.1250), V at (0.0000, 0.0000, 0.0000) and Mo at (0.0000, 0.0000, 0.5000).

For the calculated volume, the calculation gives 51.16 Å³ per atom. The value obtained for the distance to the lowest polymorph of the same formula is 0.000 eV per atom. As for the energy of formation: 1.47 eV per atom.


Entry 12:
A plane-wave DFT calculation with PBE was carried out for a geometry-optimized Rb2VMo structure.

It has space group Fm-3m (No. 225), with a = 8.8352 Å, b = 8.8352 Å, c = 8.8352 Å, α = 90.00°, β = 90.00° and γ = 90.00°. Symmetry generates all atoms from Rb at (0.2500, 0.2500, 0.2500), V at (0.0000, 0.0000, 0.0000) and Mo at (0.0000, 0.0000, 0.5000).

For the calculated volume, the calculation gives 43.11 Å³ per atom. The value obtained for the distance to the lowest polymorph of the same formula is 0.612 eV per atom. As for the energy of formation: 2.08 eV per atom.


energy of formation of number 12 (Rb2VMo)? 2.08 eV per atom